(1)
This record from the Alexandria database describes crystalline MgBe2P2 at its relaxed geometry. The functional is PBE.

Properties
mass density	2.38	g cm⁻³
volume	73	Å³ per cell
DOS(E_F)	0.50	states/eV per cell
E	-21.09	eV for the cell shown

Cell and atoms, written as POSCAR:
```
MgBe2P2
1.0
-1.748 1.748 5.949
1.748 -1.748 5.949
1.748 1.748 -5.949
Mg Be P
1 2 2
Direct
0.000 0.000 0.000
0.250 0.750 0.500
0.750 0.250 0.500
0.363 0.363 0.000
0.637 0.637 0.000
```


(2)
This record from the Alexandria database describes crystalline Nd8ZnAg2 at its relaxed geometry. The functional is PBE.

Properties
mass density	7.12	g cm⁻³
volume	335	Å³ per cell
DOS(E_F)	11.76	states/eV per cell
E	-46.34	eV for the cell shown

Cell and atoms, written as POSCAR:
```
Nd8ZnAg2
1.0
9.237 -2.668 0.000
9.237 2.668 0.000
-2.134 0.000 6.790
Nd Zn Ag
8 1 2
Direct
0.024 0.024 0.277
0.197 0.197 0.818
0.334 0.334 0.517
0.409 0.409 0.040
0.591 0.591 0.960
0.666 0.666 0.483
0.803 0.803 0.182
0.976 0.976 0.723
0.500 0.500 0.500
0.180 0.180 0.225
0.820 0.820 0.775
```


(3)
This record from the Alexandria database describes crystalline K4CePr3Se8 at its relaxed geometry. The functional is PBE.

Properties
mass density	4.37	g cm⁻³
volume	513	Å³ per cell
raw formation energy	-27.75	eV/f.u.
DOS(E_F)	5.36	states/eV per cell

Cell and atoms, written as POSCAR:
```
K4CePr3Se8
1.0
4.385 2.532 7.697
-4.385 2.532 7.697
0.000 -5.064 7.697
K Ce Pr Se
4 1 3 8
Direct
0.000 0.000 0.000
0.000 0.500 0.500
0.500 0.000 0.500
0.500 0.500 0.000
0.500 0.500 0.500
0.000 0.000 0.500
0.000 0.500 0.000
0.500 0.000 0.000
0.238 0.238 0.238
0.238 0.736 0.736
0.264 0.264 0.762
0.264 0.762 0.264
0.736 0.238 0.736
0.736 0.736 0.238
0.762 0.264 0.264
0.762 0.762 0.762
```


(4)
This record from the Alexandria database describes crystalline FeHI4 at its relaxed geometry. The functional is PBE.

Properties
mass density	3.39	g cm⁻³
volume	553	Å³ per cell
offset from the most stable computed form	0.002	eV/atom
DOS(E_F)	0.67	states/eV per cell

Cell and atoms, written as POSCAR:
```
FeHI4
1.0
2.151 -15.162 0.000
2.151 15.162 0.000
0.000 0.000 8.476
Fe H I
2 2 8
Direct
0.091 0.909 0.500
0.909 0.091 0.000
0.256 0.744 0.779
0.744 0.256 0.279
0.010 0.990 0.502
0.123 0.877 0.227
0.226 0.774 0.938
0.378 0.622 0.156
0.622 0.378 0.656
0.774 0.226 0.438
0.877 0.123 0.727
0.990 0.010 0.002
```


(5)
This record from the Alexandria database describes crystalline KZr2Sc2O7 at its relaxed geometry. The functional is PBE.

Properties
mass density	4.26	g cm⁻³
volume	165	Å³ per cell
raw formation energy	-37.12	eV/f.u.
DOS(E_F)	2.28	states/eV per cell

Cell and atoms, written as POSCAR:
```
KZr2Sc2O7
1.0
-2.116 2.156 9.033
2.116 -2.156 9.033
2.116 2.156 -9.033
K Zr Sc O
1 2 2 7
Direct
0.000 0.000 0.000
0.387 0.387 0.000
0.613 0.613 0.000
0.246 0.746 0.500
0.754 0.254 0.500
0.127 0.627 0.500
0.262 0.262 0.000
0.367 0.867 0.500
0.500 0.500 0.000
0.633 0.133 0.500
0.738 0.738 0.000
0.873 0.373 0.500
```


(6)
This record from the Alexandria database describes crystalline SrLa5Mg4 at its relaxed geometry. The functional is PBE.

Properties
mass density	4.30	g cm⁻³
volume	340	Å³ per cell
DOS(E_F)	13.58	states/eV per cell
E	-33.26	eV for the cell shown

Cell and atoms, written as POSCAR:
```
SrLa5Mg4
1.0
3.985 0.000 0.000
0.000 3.985 0.000
0.000 0.000 21.392
Sr La Mg
1 5 4
Direct
0.000 0.000 0.000
0.500 0.500 0.136
0.500 0.500 0.315
0.500 0.500 0.500
0.500 0.500 0.685
0.500 0.500 0.864
0.000 0.000 0.225
0.000 0.000 0.407
0.000 0.000 0.593
0.000 0.000 0.775
```


(7)
This record from the Alexandria database describes crystalline Ba2CrCd at its relaxed geometry. The functional is PBE.

Properties
mass density	4.62	g cm⁻³
volume	316	Å³ per cell
DOS(E_F)	8.69	states/eV per cell
E	-24.54	eV for the cell shown

Cell and atoms, written as POSCAR:
```
Ba2CrCd
1.0
-4.635 4.635 3.674
4.635 -4.635 3.674
4.635 4.635 -3.674
Ba Cr Cd
4 2 2
Direct
0.115 0.625 0.990
0.375 0.365 0.490
0.635 0.125 0.010
0.875 0.885 0.510
0.000 0.000 0.000
0.750 0.250 0.500
0.250 0.750 0.500
0.500 0.500 0.000
```


(8)
This record from the Alexandria database describes crystalline BOsI2 at its relaxed geometry. The functional is PBE.

Properties
mass density	7.67	g cm⁻³
volume	197	Å³ per cell
offset from the most stable computed form	0.000	eV/atom
raw formation energy	6.71	eV/f.u.
DOS(E_F)	7.20	states/eV per cell

Cell and atoms, written as POSCAR:
```
BOsI2
1.0
-2.875 2.875 5.959
2.875 -2.875 5.959
2.875 2.875 -5.959
B Os I
2 2 4
Direct
0.000 0.000 0.000
0.750 0.250 0.500
0.250 0.750 0.500
0.500 0.500 0.000
0.113 0.625 0.988
0.375 0.363 0.488
0.637 0.125 0.012
0.875 0.887 0.512
```


(9)
This record from the Alexandria database describes crystalline YZn4Ga at its relaxed geometry. The functional is PBE.

Properties
mass density	6.36	g cm⁻³
volume	110	Å³ per cell
DOS(E_F)	5.11	states/eV per cell
E	-15.48	eV for the cell shown

Cell and atoms, written as POSCAR:
```
YZn4Ga
1.0
0.000 3.799 3.799
3.799 0.000 3.799
3.799 3.799 0.000
Y Zn Ga
1 4 1
Direct
0.000 0.000 0.000
0.125 0.625 0.625
0.625 0.125 0.625
0.625 0.625 0.125
0.625 0.625 0.625
0.250 0.250 0.250
```


(10)
This record from the Alexandria database describes crystalline Pm7Pr3Ho at its relaxed geometry. The functional is PBE.

Properties
mass density	6.65	g cm⁻³
volume	400	Å³ per cell
offset from the most stable computed form	0.000	eV/atom
DOS(E_F)	16.62	states/eV per cell

Cell and atoms, written as POSCAR:
```
Pm7Pr3Ho
1.0
7.233 0.000 0.000
-3.617 6.264 0.000
0.000 0.000 8.832
Pm Pr Ho
7 3 1
Direct
0.000 0.000 0.000
0.166 0.333 0.326
0.166 0.834 0.326
0.501 0.001 0.994
0.501 0.499 0.994
0.667 0.834 0.326
0.999 0.499 0.994
0.334 0.167 0.659
0.833 0.167 0.659
0.833 0.666 0.659
0.667 0.333 0.319
```


(11)
This record from the Alexandria database describes crystalline Nd2ReOs3 at its relaxed geometry. The functional is PBE.

Properties
mass density	15.17	g cm⁻³
volume	229	Å³ per cell
DOS(E_F)	15.78	states/eV per cell
E	-112.25	eV for the cell shown

Cell and atoms, written as POSCAR:
```
Nd2ReOs3
1.0
5.576 0.000 0.000
-2.788 4.829 0.000
0.000 0.000 8.502
Nd Re Os
4 2 6
Direct
0.333 0.667 0.066
0.333 0.667 0.434
0.667 0.333 0.566
0.667 0.333 0.934
0.000 0.000 0.000
0.000 0.000 0.500
0.171 0.341 0.750
0.171 0.829 0.750
0.341 0.171 0.250
0.659 0.829 0.750
0.829 0.171 0.250
0.829 0.659 0.250
```


(12)
This record from the Alexandria database describes crystalline BePd2RuF at its relaxed geometry. The functional is PBE.

Properties
mass density	7.45	g cm⁻³
volume	76	Å³ per cell
raw formation energy	3.61	eV/f.u.
DOS(E_F)	4.43	states/eV per cell

Cell and atoms, written as POSCAR:
```
BePd2RuF
1.0
4.394 0.000 0.000
0.000 4.394 0.000
0.000 0.000 3.950
Be Pd Ru F
1 2 1 1
Direct
0.000 0.000 0.000
0.000 0.500 0.500
0.500 0.000 0.500
0.500 0.500 0.000
0.500 0.500 0.500
```